[1]
Ce3TeH3: optimized geometry, PBE-GGA.

a = 8.1230 Å, b = 8.1230 Å, c = 8.1230 Å
α = 50.73°, β = 50.73°, γ = 50.73°
Closest atoms and distances in Å follow each position.
Sites, in units of the cell vectors:
Ce  0.0998  0.7754  0.4188  4 H 2.34-2.40
Ce  0.2246  0.5812  0.9002  4 H 2.34-2.40
Ce  0.4188  0.0998  0.7754  4 H 2.34-2.40
Ce  0.5812  0.9002  0.2246  4 H 2.34-2.40
Ce  0.7754  0.4188  0.0998  4 H 2.34-2.40
Ce  0.9002  0.2246  0.5812  4 H 2.34-2.40
Te  0.3329  0.3329  0.3329  6 Ce 3.14-3.15, 6 H 3.49-3.50
Te  0.6671  0.6671  0.6671  6 Ce 3.14-3.15, 6 H 3.49-3.50
H  0.1243  0.4682  0.7820  4 Ce 2.34-2.40
H  0.2180  0.8757  0.5318  4 Ce 2.34-2.40
H  0.4682  0.7820  0.1243  4 Ce 2.34-2.40
H  0.5318  0.2180  0.8757  4 Ce 2.34-2.40
H  0.7820  0.1244  0.4682  4 Ce 2.34-2.40
H  0.8757  0.5318  0.2180  4 Ce 2.34-2.40

Summary:
Relative energy among the computed polymorphs = 0.000 eV/atom
Magnetic moment = 3.3 μB per formula unit



[2]
La3Mg7Pt4: optimized geometry, PBE-GGA.

a = 8.5264 Å, b = 8.5264 Å, c = 10.5848 Å
α = 122.34°, β = 122.34°, γ = 29.45°
Closest atoms and distances in Å follow each position.
Sites, in units of the cell vectors:
La  0.0000  0.0000  0.0000  6 Pt 3.28-3.37, 4 Mg 3.61
La  0.3034  0.3034  0.2859  4 Pt 3.07-3.12, 5 Mg 3.28-3.40
La  0.6966  0.6966  0.7141  4 Pt 3.07-3.12, 5 Mg 3.28-3.40
Mg  0.0000  0.0000  0.5000  2 Pt 2.83, 4 Mg 3.15
Mg  0.1693  0.1693  0.4315  3 Pt 2.79-2.88, 4 Mg 3.05-3.10
Mg  0.3212  0.3212  0.9883  4 Pt 2.75-2.90, 1 Mg 3.04
Mg  0.4869  0.4869  0.7039  3 Pt 2.70-2.76
Mg  0.5131  0.5131  0.2961  3 Pt 2.70-2.76
Mg  0.6788  0.6788  0.0117  4 Pt 2.75-2.90, 1 Mg 3.04
Mg  0.8307  0.8307  0.5685  3 Pt 2.79-2.88, 4 Mg 3.05-3.10
Pt  0.1108  0.1108  0.8205  6 Mg 2.75-2.90
Pt  0.3370  0.3370  0.7394  5 Mg 2.70-2.88
Pt  0.6630  0.6630  0.2606  5 Mg 2.70-2.88
Pt  0.8892  0.8892  0.1795  6 Mg 2.75-2.90

Summary:
Energy of formation from the pure elements = -0.7408 eV/atom
Magnetic moment = 0.0 μB per formula unit



[3]
ErHgF: optimized geometry, PBE-GGA.

a = 3.8813 Å, b = 3.8813 Å, c = 4.8956 Å
α = 90.00°, β = 90.00°, γ = 120.00°
Closest atoms and distances in Å follow each position.
Sites, in units of the cell vectors:
Er  0.0000  0.0000  0.0000  3 F 2.24
Hg  0.3333  0.6667  0.5000  6 Er 3.32, 6 F 3.32
F  0.6667  0.3333  0.0000  3 Er 2.24

Summary:
Energy relative to the elements, uncorrected = -1.780 eV per atom
Magnetic moment = 0.0 μB per formula unit



[4]
Ta2AlRh: optimized geometry, PBE-GGA.

a = 3.0046 Å, b = 3.5487 Å, c = 6.1711 Å
α = 90.00°, β = 90.00°, γ = 90.00°
Closest atoms and distances in Å follow each position.
Sites, in units of the cell vectors:
Ta  0.0000  0.0000  0.0000  4 Rh 2.82, 6 Ta 2.85-3.00, 1 Al 2.92
Ta  0.5000  0.5000  0.2667  4 Al 2.83, 6 Ta 2.85-3.00, 1 Rh 2.93
Al  0.0000  0.0000  0.5272  4 Rh 2.68, 5 Ta 2.83-2.92
Rh  0.5000  0.5000  0.7423  4 Al 2.68, 5 Ta 2.82-2.93

Summary:
Energy of formation from the pure elements = -0.3604 eV/atom
Magnetic moment = 0.0 μB per formula unit



[5]
La2AlZnO6: optimized geometry, PBE-GGA.

a = 5.5956 Å, b = 5.4105 Å, c = 9.6964 Å
α = 90.00°, β = 124.92°, γ = 90.00°
Closest atoms and distances in Å follow each position.
Sites, in units of the cell vectors:
La  0.2421  0.0057  0.2487  5 O 2.37-2.52
La  0.2421  0.4943  0.7487  5 O 2.37-2.52
La  0.7579  0.5057  0.2513  5 O 2.37-2.52
La  0.7579  0.9943  0.7513  5 O 2.37-2.52
Al  0.5000  0.0000  0.0000  6 O 1.91-1.92
Al  0.5000  0.5000  0.5000  6 O 1.91-1.92
Zn  0.0000  0.0000  0.5000  6 O 2.05-2.17
Zn  0.0000  0.5000  0.0000  6 O 2.05-2.17
O  0.2061  0.2361  0.9527  1 Al 1.92, 1 Zn 2.05
O  0.2061  0.2639  0.4527  1 Al 1.92, 1 Zn 2.05
O  0.2160  0.7475  0.4521  1 Al 1.92, 1 Zn 2.05
O  0.2160  0.7525  0.9521  1 Al 1.92, 1 Zn 2.05
O  0.3495  0.0031  0.7664  1 Al 1.91
O  0.3495  0.4969  0.2664  1 Al 1.91
O  0.6505  0.5031  0.7336  1 Al 1.91
O  0.6505  0.9969  0.2336  1 Al 1.91
O  0.7840  0.2475  0.0479  1 Al 1.92, 1 Zn 2.05
O  0.7840  0.2525  0.5479  1 Al 1.92, 1 Zn 2.05
O  0.7939  0.7361  0.5473  1 Al 1.92, 1 Zn 2.05
O  0.7939  0.7639  0.0473  1 Al 1.92, 1 Zn 2.05

Summary:
Energy relative to the elements, uncorrected = -2.706 eV per atom
Magnetic moment = 0.0 μB per formula unit



[6]
Nd4IrAu: optimized geometry, PBE-GGA.

a = 8.2601 Å, b = 8.2601 Å, c = 6.2437 Å
α = 104.75°, β = 104.75°, γ = 114.11°
Closest atoms and distances in Å follow each position.
Sites, in units of the cell vectors:
Nd  0.0608  0.6985  0.9157  2 Ir 3.09-3.13, 2 Au 3.16-3.25
Nd  0.2199  0.3563  0.6902  2 Ir 2.91-2.94, 2 Au 3.20-3.21
Nd  0.3015  0.9392  0.5843  2 Ir 3.09-3.13, 2 Au 3.16-3.25
Nd  0.3563  0.2199  0.1902  2 Ir 2.91-2.94, 2 Au 3.20-3.21
Nd  0.6437  0.7801  0.8098  2 Ir 2.91-2.94, 2 Au 3.20-3.21
Nd  0.6985  0.0608  0.4157  2 Ir 3.09-3.13, 2 Au 3.16-3.25
Nd  0.7801  0.6437  0.3098  2 Ir 2.91-2.94, 2 Au 3.20-3.21
Nd  0.9392  0.3015  0.0843  2 Ir 3.09-3.13, 2 Au 3.16-3.25
Ir  0.0008  0.9992  0.7500  8 Nd 2.91-3.13, 2 Ir 3.12
Ir  0.9992  0.0008  0.2500  8 Nd 2.91-3.13, 2 Ir 3.12
Au  0.3744  0.6256  0.2500  8 Nd 3.16-3.25
Au  0.6256  0.3744  0.7500  8 Nd 3.16-3.25

Summary:
Energy of formation from the pure elements = -0.5057 eV/atom
Relative energy among the computed polymorphs = 0.039 eV/atom
Magnetic moment = 0.0 μB per formula unit



[7]
ScMnPd3: optimized geometry, PBE-GGA.

a = 4.5649 Å, b = 4.5649 Å, c = 4.5649 Å
α = 90.00°, β = 90.00°, γ = 90.00°
Closest atoms and distances in Å follow each position.
Sites, in units of the cell vectors:
Sc  0.0000  0.0000  0.0000  12 Pd 3.23
Mn  0.5000  0.5000  0.5000  6 Pd 2.28
Pd  0.0000  0.5000  0.5000  2 Mn 2.28
Pd  0.5000  0.0000  0.5000  2 Mn 2.28
Pd  0.5000  0.5000  0.0000  2 Mn 2.28

Summary:
Energy of formation from the pure elements = 0.4254 eV/atom
Relative energy among the computed polymorphs = 0.000 eV/atom
Magnetic moment = 0.0 μB per formula unit



[8]
KYRu: optimized geometry, PBE-GGA.

a = 3.5332 Å, b = 3.5332 Å, c = 8.2456 Å
α = 90.00°, β = 90.00°, γ = 120.00°
Closest atoms and distances in Å follow each position.
Sites, in units of the cell vectors:
K  0.0000  0.0000  0.0000  3 Ru 3.29, 6 K 3.53
Y  0.3333  0.6667  0.5290  3 Ru 2.71
Ru  0.6667  0.3333  0.3134  3 Y 2.71

Summary:
Energy of formation from the pure elements = 0.5392 eV/atom
Relative energy among the computed polymorphs = 0.176 eV/atom
Magnetic moment = 0.0 μB per formula unit



[9]
KBe3Ag: optimized geometry, PBE-GGA.

a = 5.5377 Å, b = 5.5377 Å, c = 5.5377 Å
α = 90.00°, β = 90.00°, γ = 90.00°
Closest atoms and distances in Å follow each position.
Sites, in units of the cell vectors:
K  0.0000  0.0000  0.0000  6 Be 2.77
Be  0.0000  0.0000  0.5000  2 K 2.77
Be  0.0000  0.5000  0.0000  2 K 2.77
Be  0.5000  0.0000  0.0000  2 K 2.77
Ag  0.5000  0.5000  0.5000  12 Be 3.92

Summary:
Energy of formation from the pure elements = 2.3232 eV/atom
Relative energy among the computed polymorphs = 1.579 eV/atom
Magnetic moment = 0.0 μB per formula unit



[10]
Li2PaNb3N6: optimized geometry, PBE-GGA.

a = 5.4154 Å, b = 5.4154 Å, c = 5.6534 Å
α = 98.49°, β = 98.49°, γ = 120.19°
Closest atoms and distances in Å follow each position.
Sites, in units of the cell vectors:
Li  0.1659  0.8341  0.0000  6 N 2.28-2.36
Li  0.8341  0.1659  0.0000  6 N 2.28-2.36
Pa  0.5000  0.5000  0.0000  6 N 2.28-2.31
Nb  0.0000  0.0000  0.5000  6 N 2.18-2.24
Nb  0.3166  0.6834  0.5000  6 N 2.12-2.29
Nb  0.6834  0.3166  0.5000  6 N 2.12-2.29
N  0.0811  0.4161  0.7375  3 Nb 2.12-2.24, 2 Li 2.28-2.30, 1 Pa 2.31
N  0.2647  0.2647  0.2739  3 Nb 2.18-2.29, 1 Pa 2.28, 2 Li 2.36
N  0.4161  0.0811  0.7375  3 Nb 2.12-2.24, 2 Li 2.28-2.30, 1 Pa 2.31
N  0.5839  0.9189  0.2625  3 Nb 2.12-2.24, 2 Li 2.28-2.30, 1 Pa 2.31
N  0.7353  0.7353  0.7261  3 Nb 2.18-2.29, 1 Pa 2.28, 2 Li 2.36
N  0.9189  0.5839  0.2625  3 Nb 2.12-2.24, 2 Li 2.28-2.30, 1 Pa 2.31

Summary:
Energy relative to the elements, uncorrected = -1.161 eV per atom
Magnetic moment = 0.0 μB per formula unit